--- i ---
{"formula": "TaSeSN2", "functional": "GGA-PBE", "state": "optimized geometry", "lattice_angstrom": [[3.7411, 0.0000, 0.0000], [0.0000, 3.7411, 0.0000], [0.0000, 0.0000, 4.5928]], "species": ["Ta", "Se", "S", "N", "N"], "fractional_positions": [[0.0000, 0.0000, 0.0000], [0.5000, 0.5000, 0.0000], [0.5000, 0.5000, 0.5000], [0.0000, 0.5000, 0.5000], [0.5000, 0.0000, 0.5000]], "spacegroup": "P4/mmm, No. 123"}

--- ii ---
{"formula": "TaSeSN2", "functional": "GGA-PBE", "state": "optimized geometry", "lattice_angstrom": [[3.9736, 0.0000, 0.0000], [0.0000, 3.9736, 0.0000], [0.0000, 0.0000, 5.2789]], "species": ["Ta", "Se", "S", "N", "N"], "fractional_positions": [[0.0000, 0.0000, 0.0000], [0.5000, 0.5000, 0.5000], [0.0000, 0.0000, 0.5000], [0.0000, 0.5000, 0.0000], [0.5000, 0.0000, 0.0000]], "spacegroup": "P4/mmm, No. 123"}

Tell me which of them is the most stable. Sure, it is ii.